Y4SiAsS2: optimized geometry, PBE.

Lattice parameters (Å, degrees): 4.040 6.976 7.009 70.53 90.00 90.00
Positions (direct):
S1 0.500 0.000 0.500
S2 0.000 0.000 0.000
Si1 0.000 0.500 0.500
Y1 0.500 0.747 0.254
Y2 0.000 0.747 0.747
Y3 0.000 0.253 0.253
Y4 0.500 0.253 0.746
As1 0.500 0.500 0.000

Computed properties:
Magnetic moment, μB per atom: 0.000
Space group: No. 10
Formation energy without anion corrections, eV/atom: -1.622
DOS(E_F), states/eV per cell: 1.52